A plane-wave DFT calculation with GGA-PBE was carried out for InCuW2 after structural relaxation.

Cell: 3.258 3.258 6.310 Å, 90.00 90.00 90.00°
Fractional coordinates of all 4 atoms:
Cu 0.500 0.500 0.250
In 0.500 0.500 0.750
W 0.000 0.000 0.446
W 0.000 0.000 0.054

Values from the calculation:
Crystal system = tetragonal
Raw total energy = -7.532 eV per atom
Energy of formation = 0.653 eV/atom

---

A plane-wave DFT calculation with GGA-PBE was carried out for KTl2Br after structural relaxation.

Cell: 3.986 3.986 10.417 Å, 90.00 90.00 110.70°
Fractional coordinates of all 4 atoms:
K 0.500 0.500 0.750
Br 0.500 0.500 0.250
Tl 0.000 0.000 0.461
Tl 0.000 0.000 0.039

Values from the calculation:
Crystal system = orthorhombic
Raw total energy = -2.119 eV per atom
Relative energy among the computed polymorphs = 35.9 kJ/mol of atoms

---

A plane-wave DFT calculation with GGA-PBE was carried out for Tm2AlPt after structural relaxation.

Cell: 4.420 5.925 7.578 Å, 114.94 90.00 90.00°
Fractional coordinates of all 8 atoms:
Tm 0.250 0.760 0.091
Pt 0.250 0.374 0.706
Al 0.250 0.326 0.213
Al 0.750 0.674 0.787
Pt 0.750 0.626 0.294
Tm 0.250 0.814 0.574
Tm 0.750 0.186 0.426
Tm 0.750 0.240 0.909

Values from the calculation:
Crystal system = monoclinic
Raw total energy = -5.556 eV per atom
Energy of formation = -0.874 eV/atom
Relative energy among the computed polymorphs = 0.0 kJ/mol of atoms

---

A plane-wave DFT calculation with GGA-PBE was carried out for LiY2ScH after structural relaxation.

Cell: 5.208 5.208 3.873 Å, 90.00 90.00 90.00°
Fractional coordinates of all 5 atoms:
Li 0.000 0.000 0.500
Sc 0.500 0.500 0.500
Y 0.000 0.500 0.000
H 0.000 0.000 0.000
Y 0.500 0.000 0.000

Values from the calculation:
Crystal system = tetragonal
Raw total energy = -4.980 eV per atom
Relative energy among the computed polymorphs = 0.0 kJ/mol of atoms

---

A plane-wave DFT calculation with GGA-PBE was carried out for TaTl2OsBr after structural relaxation.

Cell: 5.570 4.760 5.570 Å, 90.00 90.00 90.00°
Fractional coordinates of all 5 atoms:
Br 0.000 0.000 0.000
Os 0.500 0.500 0.500
Tl 0.500 0.000 0.000
Ta 0.000 0.500 0.000
Tl 0.000 0.000 0.500

Values from the calculation:
Crystal system = tetragonal
Raw total energy = -3.791 eV per atom

---

A plane-wave DFT calculation with GGA-PBE was carried out for Li3As5O12 after structural relaxation.

Cell: 10.797 10.797 10.797 Å, 109.47 109.47 109.47°
Fractional coordinates of all 80 atoms:
O 0.622 0.019 0.213
O 0.122 0.713 0.519
As 0.750 0.125 0.875
O 0.194 0.103 0.981
Li 0.375 0.750 0.625
O 0.090 0.897 0.378
As 0.250 0.875 0.125
Li 0.125 0.250 0.875
As 0.500 0.000 0.500
As 0.000 0.500 0.000
O 0.213 0.519 0.622
O 0.878 0.287 0.481
As 0.250 0.375 0.625
O 0.713 0.122 0.019
O 0.910 0.103 0.622
O 0.397 0.378 0.590
As 0.625 0.750 0.875
O 0.806 0.910 0.287
As 0.500 0.500 0.500
As 0.125 0.375 0.250
O 0.103 0.194 0.481
O 0.519 0.213 0.122
O 0.481 0.787 0.878
O 0.897 0.090 0.878
As 0.000 0.000 0.500
O 0.410 0.122 0.603
As 0.500 0.500 0.000
O 0.787 0.306 0.910
O 0.287 0.878 0.981
O 0.481 0.694 0.103
O 0.878 0.590 0.897
O 0.590 0.878 0.397
As 0.750 0.625 0.375
O 0.287 0.410 0.806
O 0.590 0.713 0.694
As 0.625 0.875 0.250
Li 0.625 0.375 0.750
O 0.378 0.397 0.090
O 0.519 0.306 0.897
As 0.125 0.750 0.375
O 0.694 0.213 0.590
O 0.603 0.981 0.694
Li 0.250 0.625 0.875
O 0.213 0.694 0.090
As 0.875 0.625 0.750
As 0.375 0.250 0.125
As 0.000 0.500 0.500
O 0.306 0.519 0.397
Li 0.625 0.250 0.375
As 0.500 0.000 0.000
As 0.875 0.250 0.625
O 0.622 0.603 0.910
O 0.910 0.806 0.787
O 0.306 0.787 0.410
O 0.806 0.897 0.019
O 0.410 0.287 0.306
As 0.375 0.125 0.750
O 0.194 0.090 0.713
Li 0.750 0.875 0.625
O 0.981 0.378 0.287
O 0.122 0.410 0.103
Li 0.250 0.125 0.375
O 0.897 0.806 0.519
O 0.090 0.194 0.213
O 0.397 0.019 0.306
Li 0.125 0.875 0.750
O 0.019 0.622 0.713
O 0.019 0.397 0.806
Li 0.875 0.125 0.250
O 0.787 0.481 0.378
O 0.694 0.481 0.603
O 0.378 0.981 0.787
O 0.603 0.622 0.410
Li 0.875 0.750 0.125
O 0.981 0.603 0.194
O 0.713 0.590 0.194
O 0.103 0.910 0.122
Li 0.375 0.625 0.250
As 0.000 0.000 0.000
Li 0.750 0.375 0.125

Values from the calculation:
Crystal system = cubic
Raw total energy = -5.753 eV per atom

---

A plane-wave DFT calculation with GGA-PBE was carried out for LiLaFe after structural relaxation.

Cell: 5.734 5.735 3.518 Å, 72.14 72.14 35.72°
Fractional coordinates of all 3 atoms:
La 0.346 0.346 0.654
Li 0.632 0.632 0.368
Fe 0.022 0.022 0.978

Values from the calculation:
Crystal system = tetragonal
Raw total energy = -4.730 eV per atom
Energy of formation = 0.371 eV/atom
Relative energy among the computed polymorphs = 18.2 kJ/mol of atoms

---

A plane-wave DFT calculation with GGA-PBE was carried out for ScNbPd after structural relaxation.

Cell: 2.937 4.758 7.872 Å, 90.00 95.78 90.00°
Fractional coordinates of all 6 atoms:
Pd 0.869 0.000 0.594
Nb 0.164 0.500 0.042
Sc 0.259 0.000 0.297
Sc 0.656 0.000 0.915
Pd 0.767 0.500 0.370
Nb 0.331 0.500 0.696

Values from the calculation:
Crystal system = monoclinic
Raw total energy = -7.508 eV per atom
Energy of formation = -0.310 eV/atom
Relative energy among the computed polymorphs = 14.8 kJ/mol of atoms